VASP calculation (GGA-PBE) on a relaxed structure of GaFeTcIr2.

```
data_GaFeTcIr2
_chemical_formula_sum 'Ga1 Fe1 Tc1 Ir2'
_symmetry_space_group_name_H-M 'P 4/m m m'
_symmetry_Int_Tables_number 123
_symmetry_space_group_name_Hall '-P 4 2'
_cell_length_a 4.438
_cell_length_b 4.438
_cell_length_c 4.341
_cell_angle_alpha 90.00
_cell_angle_beta 90.00
_cell_angle_gamma 90.00
loop_
_atom_site_label
_atom_site_type_symbol
_atom_site_fract_x
_atom_site_fract_y
_atom_site_fract_z
_atom_site_occupancy
Ga1 Ga 0.000 0.000 0.000 1
Fe1 Fe 0.000 0.000 0.500 1
Tc1 Tc 0.500 0.500 0.000 1
Ir1 Ir 0.000 0.500 0.500 1
```

Computed properties:
The formation energy from the elements comes out at 1227 meV/atom. The density of states at the Fermi level is 1.458 states/eV/atom. The calculation puts the total energy at -6.69 eV per atom. The value obtained for the volume is 85.51 Å³ per cell. For the calculated density, the calculation gives 11.807 g cm⁻³.

---

VASP calculation (GGA-PBE) on a relaxed structure of LiNd2Au4.

```
data_LiNd2Au4
_chemical_formula_sum 'Li2 Nd4 Au8'
_symmetry_space_group_name_H-M 'C 1 2/m 1'
_symmetry_Int_Tables_number 12
_symmetry_space_group_name_Hall '-C 2y'
_cell_length_a 10.032
_cell_length_b 4.474
_cell_length_c 7.775
_cell_angle_alpha 90.00
_cell_angle_beta 105.08
_cell_angle_gamma 90.00
loop_
_atom_site_label
_atom_site_type_symbol
_atom_site_fract_x
_atom_site_fract_y
_atom_site_fract_z
_atom_site_occupancy
Li1 Li 0.000 0.000 0.000 1
Nd1 Nd 0.241 0.500 0.259 1
Au1 Au 0.067 0.000 0.359 1
Au2 Au 0.086 0.500 0.857 1
```

Computed properties:
The formation energy from the elements comes out at -647 meV/atom. The density of states at the Fermi level is 0.528 states/eV/atom. The calculation puts the total energy at -4.16 eV per atom. The value obtained for the volume is 336.93 Å³ per cell. For the calculated density, the calculation gives 10.678 g cm⁻³.

---

VASP calculation (GGA-PBE) on a relaxed structure of Rb2GePBr6.

```
data_Rb2GePBr6
_chemical_formula_sum 'Rb4 Ge2 P2 Br12'
_symmetry_space_group_name_H-M 'I 4/m m m'
_symmetry_Int_Tables_number 139
_symmetry_space_group_name_Hall '-I 4 2'
_cell_length_a 7.694
_cell_length_b 7.694
_cell_length_c 10.910
_cell_angle_alpha 90.00
_cell_angle_beta 90.00
_cell_angle_gamma 90.00
loop_
_atom_site_label
_atom_site_type_symbol
_atom_site_fract_x
_atom_site_fract_y
_atom_site_fract_z
_atom_site_occupancy
Rb1 Rb 0.000 0.500 0.250 1
Ge1 Ge 0.000 0.000 0.000 1
P1 P 0.000 0.000 0.500 1
Br1 Br 0.000 0.000 0.255 1
Br2 Br 0.245 0.245 0.500 1
```

Computed properties:
The density of states at the Fermi level is 0.445 states/eV/atom. The calculation puts the total energy at -3.04 eV per atom. The value obtained for the volume is 645.95 Å³ per cell. For the calculated density, the calculation gives 3.876 g cm⁻³. The calculation puts the energy relative to the elements, uncorrected at -0.840 eV/atom.